Ac2Pr3Tm4: optimized geometry, GGA-PBE.

a = 5.711 Å, b = 7.282 Å, c = 15.891 Å
α = 90.00°, β = 90.00°, γ = 90.00°
Atoms (fractional coordinates):
Ac1 0.000 0.837 0.405
Ac2 0.500 0.337 0.095
Ac3 0.000 0.163 0.595
Ac4 0.500 0.663 0.905
Pr1 0.000 0.393 0.829
Pr2 0.500 0.893 0.671
Pr3 0.000 0.607 0.171
Pr4 0.500 0.107 0.329
Pr5 0.000 0.000 0.000
Pr6 0.500 0.500 0.500
Tm1 0.500 0.134 0.877
Tm2 0.500 0.866 0.123
Tm3 0.000 0.094 0.206
Tm4 0.000 0.366 0.377
Tm5 0.500 0.594 0.294
Tm6 0.000 0.906 0.794
Tm7 0.000 0.634 0.623
Tm8 0.500 0.406 0.706

Calculated values
Space-group type: No. 58
Magnetic moment: 0.00 μB per cell
Formation energy: 0.1233 eV/atom
Fermi-level density of states: 27.00 states/eV/cell